(1)
Entry from Alexandria: crystalline LaMo2Ru at its relaxed geometry (GGA-PBE).

Geometry as POSCAR:
```
LaMo2Ru
1.0
-1.562 2.418 4.948
1.562 -2.418 4.948
1.562 2.418 -4.948
La Mo Ru
1 2 1
Cartesian
0.000 0.000 0.000
1.562 0.000 2.640
0.000 2.418 2.308
0.000 0.000 4.948
```

* density of states at the Fermi level: 0.978 states/eV per atom
* excess energy over the best structure of this formula in the dataset: 0.71 eV/f.u.
* volume: 18.69 Å³/atom
* formation energy from the elements: 1.857 eV/f.u.

(2)
Entry from Alexandria: crystalline LaMoRuS2 at its relaxed geometry (GGA-PBE).

Geometry as POSCAR:
```
LaMoRuS2
1.0
4.781 0.000 0.000
0.000 4.781 0.000
0.000 0.000 4.663
La Mo Ru S
1 1 1 2
Cartesian
0.000 0.000 0.000
2.391 2.391 0.000
2.391 2.391 2.331
0.000 2.391 2.331
2.391 0.000 2.331
```

* density of states at the Fermi level: 1.047 states/eV per atom
* formation energy without anion corrections: 42.1 meV/atom
* volume: 21.32 Å³/atom

| no. | uncorrected energy (eV/atom) |
| --- | --- |
| 1 | -8.50 |
| 2 | -6.62 |